The following is a PBE calculation of a geometry-optimized Co2BiBr structure, from the Alexandria database.

abc: 6.9336 6.9336 6.9336
angles: 132.88 132.88 68.84
Closest atoms and distances in Å follow each position.
Element x y z (fractional)
Co  0.0794  0.6250  0.9544  2 Br 2.29
Co  0.3750  0.3294  0.4544  2 Br 2.29
Co  0.6706  0.1250  0.0456  2 Br 2.29
Co  0.8750  0.9206  0.5456  2 Br 2.29
Bi  0.2500  0.7500  0.5000  4 Co 2.58
Bi  0.5000  0.5000  0.0000  4 Co 2.58
Br  0.0000  0.0000  0.0000  4 Co 2.29
Br  0.7500  0.2500  0.5000  4 Co 2.29

energy relative to the lowest polymorph listed for this composition = 0.0 meV per atom
formation energy from raw total energies = 0.5761 eV/atom
symmetry = I-42d, No. 122
volume = 21.96 Å³ per atom
raw total energy = -4.365 eV/atom

The following is a PBE calculation of a geometry-optimized CoBiBr2 structure, from the Alexandria database.

abc: 6.8641 6.8641 6.8641
angles: 118.59 118.59 92.45
Closest atoms and distances in Å follow each position.
Element x y z (fractional)
Co  0.0000  0.0000  0.0000  4 Br 2.38
Co  0.7500  0.2500  0.5000  4 Br 2.38
Bi  0.2500  0.7500  0.5000  4 Br 3.21
Bi  0.5000  0.5000  0.0000  4 Br 3.21
Br  0.0312  0.1250  0.4062  2 Co 2.38
Br  0.3750  0.9688  0.0938  2 Co 2.38
Br  0.7188  0.6250  0.5938  2 Co 2.38
Br  0.8750  0.2812  0.9062  2 Co 2.38

energy relative to the lowest polymorph listed for this composition = 368.3 meV per atom
formation energy from raw total energies = 0.3007 eV/atom
symmetry = I-42d, No. 122
volume = 29.16 Å³ per atom
raw total energy = -3.282 eV/atom

The following is a PBE calculation of a geometry-optimized CoBi2Br structure, from the Alexandria database.

abc: 5.0979 5.0979 5.0979
angles: 60.00 60.00 60.00
Closest atoms and distances in Å follow each position.
Element x y z (fractional)
Co  0.0000  0.0000  0.0000  8 Bi 3.12
Bi  0.2500  0.2500  0.2500  4 Br 3.12, 4 Co 3.12
Bi  0.7500  0.7500  0.7500  4 Co 3.12, 4 Br 3.12
Br  0.5000  0.5000  0.5000  8 Bi 3.12

energy relative to the lowest polymorph listed for this composition = 412.9 meV per atom
formation energy from raw total energies = 0.5899 eV/atom
symmetry = Fm-3m, No. 225
volume = 23.42 Å³ per atom
raw total energy = -3.545 eV/atom

The following is a PBE calculation of a geometry-optimized Co2BiBr structure, from the Alexandria database.

abc: 4.6226 4.6226 4.6226
angles: 60.00 60.00 60.00
Closest atoms and distances in Å follow each position.
Element x y z (fractional)
Co  0.2500  0.2500  0.2500  4 Br 2.83, 4 Bi 2.83
Co  0.7500  0.7500  0.7500  4 Bi 2.83, 4 Br 2.83
Bi  0.0000  0.0000  0.0000  8 Co 2.83
Br  0.5000  0.5000  0.5000  8 Co 2.83

energy relative to the lowest polymorph listed for this composition = 174.6 meV per atom
formation energy from raw total energies = 0.7507 eV/atom
symmetry = Fm-3m, No. 225
volume = 17.46 Å³ per atom
raw total energy = -4.191 eV/atom

The following is a PBE calculation of a geometry-optimized Co3BiBr9 structure, from the Alexandria database.

abc: 10.4929 10.4929 13.3991
angles: 124.39 124.39 53.12
Closest atoms and distances in Å follow each position.
Element x y z (fractional)
Co  0.0784  0.9216  0.5000  4 Br 2.38-2.40
Co  0.2902  0.4557  0.5455  4 Br 2.39-2.43
Co  0.4557  0.2902  0.0455  4 Br 2.39-2.43
Co  0.6698  0.9000  0.1621  4 Br 2.39-2.41
Co  0.9000  0.6698  0.6621  4 Br 2.39-2.41
Co  0.9216  0.0784  0.0000  4 Br 2.38-2.40
Bi  0.4092  0.8744  0.3314  6 Br 2.87-3.01
Bi  0.8744  0.4092  0.8314  6 Br 2.87-3.01
Br  0.0386  0.0431  0.6994  1 Co 2.39
Br  0.0431  0.0386  0.1994  1 Co 2.39
Br  0.0646  0.8097  0.8630  2 Co 2.39-2.40
Br  0.0968  0.4196  0.5586  2 Co 2.39
Br  0.1509  0.6237  0.4157  2 Co 2.40
Br  0.1842  0.4089  0.8917  1 Co 2.43
Br  0.3035  0.9596  0.5332  1 Co 2.38
Br  0.4089  0.1842  0.3917  1 Co 2.43
Br  0.4196  0.0968  0.0586  2 Co 2.39
Br  0.4975  0.5066  0.2511  1 Co 2.39
Br  0.5066  0.4975  0.7511  1 Co 2.39
Br  0.5770  0.7338  0.1563  1 Co 2.41
Br  0.6237  0.1509  0.9157  2 Co 2.40
Br  0.7200  0.8644  0.5483  1 Co 2.39
Br  0.7338  0.5770  0.6563  1 Co 2.41
Br  0.8097  0.0646  0.3630  2 Co 2.39-2.40
Br  0.8644  0.7200  0.0483  1 Co 2.39
Br  0.9596  0.3035  0.0332  1 Co 2.38

formation energy from raw total energies = -0.3836 eV/atom
symmetry = Cc, No. 9
volume = 35.19 Å³ per atom
raw total energy = -3.480 eV/atom

The following is a PBE calculation of a geometry-optimized CoBi2Br structure, from the Alexandria database.

abc: 7.6926 7.6926 7.6926
angles: 129.66 129.66 73.95
Closest atoms and distances in Å follow each position.
Element x y z (fractional)
Co  0.0000  0.0000  0.0000  4 Bi 2.43
Co  0.7500  0.2500  0.5000  4 Bi 2.43
Bi  0.0188  0.6250  0.8938  2 Co 2.43
Bi  0.3750  0.2688  0.3938  2 Co 2.43
Bi  0.7312  0.1250  0.1062  2 Co 2.43
Bi  0.8750  0.9812  0.6062  2 Co 2.43
Br  0.2500  0.7500  0.5000  4 Bi 3.24
Br  0.5000  0.5000  0.0000  4 Bi 3.24

energy relative to the lowest polymorph listed for this composition = 0.0 meV per atom
formation energy from raw total energies = 0.1770 eV/atom
symmetry = I-42d, No. 122
volume = 32.89 Å³ per atom
raw total energy = -3.958 eV/atom

The following is a PBE calculation of a geometry-optimized CoBiBr2 structure, from the Alexandria database.

abc: 5.1231 5.1231 5.1231
angles: 60.00 60.00 60.00
Closest atoms and distances in Å follow each position.
Element x y z (fractional)
Co  0.0000  0.0000  0.0000  8 Br 3.14
Bi  0.5000  0.5000  0.5000  8 Br 3.14
Br  0.2500  0.2500  0.2500  4 Bi 3.14, 4 Co 3.14
Br  0.7500  0.7500  0.7500  4 Co 3.14, 4 Bi 3.14

energy relative to the lowest polymorph listed for this composition = 665.0 meV per atom
formation energy from raw total energies = 0.5973 eV/atom
symmetry = Fm-3m, No. 225
volume = 23.77 Å³ per atom
raw total energy = -2.986 eV/atom

The following is a PBE calculation of a geometry-optimized Co2BiBr8 structure, from the Alexandria database.

abc: 8.2786 8.2786 6.6600
angles: 96.04 96.04 74.45
Closest atoms and distances in Å follow each position.
Element x y z (fractional)
Co  0.1937  0.1937  0.1411  4 Br 2.27-2.41
Co  0.8063  0.8063  0.8589  4 Br 2.27-2.41
Bi  0.0000  0.0000  0.5000  6 Br 2.89-2.92
Br  0.0855  0.7147  0.7435  1 Co 2.41
Br  0.1895  0.1895  0.7824  1 Co 2.38
Br  0.2853  0.9145  0.2565  1 Co 2.41
Br  0.3608  0.3608  0.2794  1 Co 2.27
Br  0.6392  0.6392  0.7206  1 Co 2.27
Br  0.7147  0.0855  0.7435  1 Co 2.41
Br  0.8105  0.8105  0.2176  1 Co 2.38
Br  0.9145  0.2853  0.2565  1 Co 2.41

formation energy from raw total energies = -0.4145 eV/atom
symmetry = C2/m, No. 12
volume = 39.63 Å³ per atom
raw total energy = -3.276 eV/atom

| no. | density of states at the Fermi level (states/eV per atom) |
| --- | --- |
| 1 | 0.959 |
| 2 | 0.983 |
| 3 | 1.058 |
| 4 | 1.847 |
| 5 | 0.010 |
| 6 | 0.039 |
| 7 | 1.665 |
| 8 | 1.018 |